1.
Compound: Cs2AsPCl6
Source: Alexandria via LeMat-Bulk
Functional: PBE
Structure: relaxed

Calculated values
SG: I4/mmm, No. 139
DOS at the Fermi energy: 3.60 states/eV per cell
E_tot: -3.24 eV/atom
Calculated density: 3440 kg/m3

Cell lengths 7.327, 7.327, 7.380 Å; angles 60.24, 60.24, 90.00 degrees
Element x y z (fractional)
P: 0.500 0.500 0.000
Cl: 0.745 0.255 0.000
Cl: 0.746 0.746 0.507
Cl: 0.255 0.745 0.000
Cl: 0.255 0.255 0.000
Cl: 0.745 0.745 0.000
Cl: 0.254 0.254 0.493
As: 0.000 0.000 0.000
Cs: 0.750 0.250 0.500
Cs: 0.250 0.750 0.500



2.
Compound: Be2AlB
Source: Alexandria via LeMat-Bulk
Functional: PBE
Structure: relaxed

Calculated values
Energy above the lowest structure with this stoichiometry: 0.0280 eV per atom
Energy relative to the elements: 0.050 eV/atom
SG: P-1, No. 2
DOS at the Fermi energy: 1.48 states/eV per cell
E_tot: -4.42 eV/atom
Calculated density: 2483 kg/m3

Cell lengths 3.161, 4.775, 5.266 Å; angles 95.22, 89.91, 109.26 degrees
Element x y z (fractional)
B: 0.596 0.192 0.066
B: 0.404 0.808 0.934
Be: 0.667 0.337 0.428
Be: 0.229 0.457 0.146
Be: 0.333 0.663 0.572
Be: 0.771 0.543 0.854
Al: 0.952 0.905 0.252
Al: 0.048 0.095 0.748



3.
Compound: Tb2Zn3Cd6
Source: Alexandria via LeMat-Bulk
Functional: PBE
Structure: relaxed

Calculated values
Energy relative to the elements: -0.158 eV/atom
SG: P-62m, No. 189
DOS at the Fermi energy: 3.75 states/eV per cell
E_tot: -1.85 eV/atom
Calculated density: 7971 kg/m3

Cell lengths 4.434, 8.030, 8.030 Å; angles 120.00, 90.00, 90.00 degrees
Element x y z (fractional)
Cd: 0.000 0.210 0.210
Cd: 0.000 0.790 0.000
Cd: 0.500 0.713 0.713
Cd: 0.500 0.000 0.287
Cd: 0.500 0.287 0.000
Cd: 0.000 0.000 0.790
Zn: 0.500 0.000 0.607
Zn: 0.500 0.607 0.000
Zn: 0.500 0.393 0.393
Tb: 0.000 0.333 0.667
Tb: 0.000 0.667 0.333



4.
Compound: LaZr2Tl
Source: Alexandria via LeMat-Bulk
Functional: PBE
Structure: relaxed

Calculated values
Energy above the lowest structure with this stoichiometry: 0.0666 eV per atom
Energy relative to the elements: 0.036 eV/atom
SG: R3m, No. 160
DOS at the Fermi energy: 5.06 states/eV per cell
E_tot: -6.06 eV/atom
Calculated density: 8098 kg/m3

Cell lengths 11.045, 11.045, 11.045 Å; angles 17.62, 17.62, 17.62 degrees
Element x y z (fractional)
La: 0.500 0.500 0.500
Zr: 0.998 0.998 0.998
Zr: 0.258 0.258 0.258
Tl: 0.744 0.744 0.744



5.
Compound: AcPrCd2
Source: Alexandria via LeMat-Bulk
Functional: PBE
Structure: relaxed

Calculated values
Energy relative to the elements: -0.114 eV/atom
SG: R-3m, No. 166
DOS at the Fermi energy: 4.17 states/eV per cell
E_tot: -2.79 eV/atom
Calculated density: 7299 kg/m3

Cell lengths 3.877, 3.877, 10.598 Å; angles 79.46, 79.46, 60.00 degrees
Element x y z (fractional)
Cd: 0.246 0.246 0.261
Cd: 0.754 0.754 0.739
Pr: 0.500 0.500 0.500
Ac: 0.000 0.000 0.000



6.
Compound: LiY2SiAu
Source: Alexandria via LeMat-Bulk
Functional: PBE
Structure: relaxed

Calculated values
SG: P4/mmm, No. 123
DOS at the Fermi energy: 3.49 states/eV per cell
E_tot: -4.58 eV/atom
Calculated density: 5884 kg/m3

Cell lengths 5.225, 4.236, 5.225 Å; angles 90.00, 90.00, 90.00 degrees
Element x y z (fractional)
Au: 0.000 0.500 0.000
Y: 0.500 0.000 0.000
Y: 0.000 0.000 0.500
Li: 0.000 0.000 0.000
Si: 0.500 0.500 0.500



7.
Compound: ReAsPb
Source: Alexandria via LeMat-Bulk
Functional: PBE
Structure: relaxed

Calculated values
Energy above the lowest structure with this stoichiometry: 0.2568 eV per atom
Energy relative to the elements: 0.590 eV/atom
SG: Fmm2, No. 42
DOS at the Fermi energy: 2.41 states/eV per cell
E_tot: -6.35 eV/atom
Calculated density: 11811 kg/m3

Cell lengths 8.102, 7.865, 3.060 Å; angles 83.34, 74.62, 22.04 degrees
Element x y z (fractional)
Re: 0.651 0.651 0.349
As: 0.035 0.035 0.965
Pb: 0.314 0.314 0.686



8.
Compound: Fe2Tc
Source: Alexandria via LeMat-Bulk
Functional: PBE
Structure: relaxed

Calculated values
Energy above the lowest structure with this stoichiometry: 0.0998 eV per atom
Energy relative to the elements: 0.120 eV/atom
SG: Pnma, No. 62
DOS at the Fermi energy: 17.30 states/eV per cell
E_tot: -8.98 eV/atom
Calculated density: 9658 kg/m3

Cell lengths 5.094, 3.693, 7.666 Å; angles 90.00, 90.00, 90.00 degrees
Last column: magnetic moment on the atom in μB.
Element x y z (fractional)
Fe: 0.619 0.250 0.922  -1.04
Fe: 0.119 0.250 0.578  -1.04
Fe: 0.376 0.750 0.752  1.45
Fe: 0.124 0.250 0.252  1.45
Fe: 0.624 0.250 0.248  1.45
Fe: 0.381 0.750 0.078  -1.04
Fe: 0.881 0.750 0.422  -1.04
Fe: 0.876 0.750 0.748  1.45
Tc: 0.362 0.750 0.411  0.12
Tc: 0.138 0.250 0.911  0.12
Tc: 0.638 0.250 0.589  0.12
Tc: 0.862 0.750 0.089  0.12



9.
Compound: CdPbSeN2
Source: Alexandria via LeMat-Bulk
Functional: PBE
Structure: relaxed

Calculated values
Energy above the lowest structure with this stoichiometry: 0.0000 eV per atom
SG: P4/mmm, No. 123
DOS at the Fermi energy: 2.16 states/eV per cell
E_tot: -3.61 eV/atom
Calculated density: 6194 kg/m3

Cell lengths 4.497, 4.497, 5.656 Å; angles 90.00, 90.00, 90.00 degrees
Last column: magnetic moment on the atom in μB.
Element x y z (fractional)
N: 0.000 0.500 0.000  1.19
N: 0.500 0.000 0.000  1.19
Se: 0.000 0.000 0.500  0.22
Cd: 0.000 0.000 0.000  0.06
Pb: 0.500 0.500 0.500  -0.05



10.
Compound: NpBeO4
Source: Alexandria via LeMat-Bulk
Functional: PBE
Structure: relaxed

Calculated values
Energy above the lowest structure with this stoichiometry: 0.0000 eV per atom
SG: C2, No. 5
DOS at the Fermi energy: 1.22 states/eV per cell
E_tot: -8.62 eV/atom
Calculated density: 6688 kg/m3

Cell lengths 5.229, 4.996, 5.058 Å; angles 128.51, 129.79, 75.56 degrees
Last column: magnetic moment on the atom in μB.
Element x y z (fractional)
O: 0.170 0.647 0.702  -0.05
O: 0.533 0.055 0.702  -0.05
O: 0.862 0.791 0.192  -0.05
O: 0.330 0.401 0.192  -0.05
Be: 0.257 0.757 0.515  0.00
Np: 0.598 0.598 0.196  1.19



11.
Compound: Ga2F3
Source: Alexandria via LeMat-Bulk
Functional: PBE
Structure: relaxed

Calculated values
SG: Fdd2, No. 43
DOS at the Fermi energy: 1.11 states/eV per cell
E_tot: -4.27 eV/atom
Calculated density: 4177 kg/m3

Cell lengths 4.831, 4.673, 8.435 Å; angles 81.49, 73.36, 58.88 degrees
Element x y z (fractional)
F: 0.288 0.371 0.950
F: 0.609 0.629 0.050
F: 0.488 0.871 0.550
F: 0.960 0.000 0.000
F: 0.210 0.500 0.500
F: 0.909 0.129 0.450
Ga: 0.821 0.853 0.647
Ga: 0.321 0.147 0.353
Ga: 0.718 0.353 0.853
Ga: 0.925 0.647 0.147



12.
Compound: Cs2NaHg3Au4
Source: Alexandria via LeMat-Bulk
Functional: PBE
Structure: relaxed

Calculated values
Energy relative to the elements: -0.224 eV/atom
SG: P-4m2, No. 115
DOS at the Fermi energy: 2.50 states/eV per cell
E_tot: -1.93 eV/atom
Calculated density: 9190 kg/m3

Cell lengths 5.094, 5.094, 11.690 Å; angles 90.00, 90.00, 90.00 degrees
Element x y z (fractional)
Au: 0.500 0.000 0.635
Au: 0.500 0.500 0.000
Au: 0.000 0.500 0.365
Au: 0.000 0.000 0.000
Hg: 0.000 0.000 0.500
Hg: 0.500 0.000 0.881
Hg: 0.000 0.500 0.119
Cs: 0.500 0.000 0.237
Cs: 0.000 0.500 0.763
Na: 0.500 0.500 0.500



Repeat the ninth record exactly.
Compound: CdPbSeN2
Source: Alexandria via LeMat-Bulk
Functional: PBE
Structure: relaxed

Calculated values
Energy above the lowest structure with this stoichiometry: 0.0000 eV per atom
SG: P4/mmm, No. 123
DOS at the Fermi energy: 2.16 states/eV per cell
E_tot: -3.61 eV/atom
Calculated density: 6194 kg/m3

Cell lengths 4.497, 4.497, 5.656 Å; angles 90.00, 90.00, 90.00 degrees
Last column: magnetic moment on the atom in μB.
Element x y z (fractional)
N: 0.000 0.500 0.000  1.19
N: 0.500 0.000 0.000  1.19
Se: 0.000 0.000 0.500  0.22
Cd: 0.000 0.000 0.000  0.06
Pb: 0.500 0.500 0.500  -0.05



Look up the E_tot of the fourth one.
-6.06 eV/atom



Copy entry 2 word for word.
Compound: Be2AlB
Source: Alexandria via LeMat-Bulk
Functional: PBE
Structure: relaxed

Calculated values
Energy above the lowest structure with this stoichiometry: 0.0280 eV per atom
Energy relative to the elements: 0.050 eV/atom
SG: P-1, No. 2
DOS at the Fermi energy: 1.48 states/eV per cell
E_tot: -4.42 eV/atom
Calculated density: 2483 kg/m3

Cell lengths 3.161, 4.775, 5.266 Å; angles 95.22, 89.91, 109.26 degrees
Element x y z (fractional)
B: 0.596 0.192 0.066
B: 0.404 0.808 0.934
Be: 0.667 0.337 0.428
Be: 0.229 0.457 0.146
Be: 0.333 0.663 0.572
Be: 0.771 0.543 0.854
Al: 0.952 0.905 0.252
Al: 0.048 0.095 0.748



What is the DOS at the Fermi energy in the sixth record?
3.49 states/eV per cell